# 1
K3Tl2: PBEsol geometry, meta-GGA SCAN.

```
K3Tl2
1.0
5.826 0.000 0.000
-2.913 5.045 0.000
0.000 0.000 7.264
K Tl
3 2
Cartesian
0.000 0.000 0.000
0.000 3.363 2.670
2.913 1.682 4.594
0.000 3.363 6.582
2.913 1.682 0.682
```

Computed properties:
ΔE_f = -2.50 kcal/mol of atoms


# 2
BeTlSn2: PBEsol geometry, meta-GGA SCAN.

```
BeTlSn2
1.0
7.181 0.000 0.000
0.000 7.181 0.000
0.000 0.000 7.181
Be Tl Sn
4 4 8
Cartesian
0.000 0.000 0.000
0.000 3.590 3.590
3.590 0.000 3.590
3.590 3.590 0.000
0.000 0.000 3.590
0.000 3.590 0.000
3.590 0.000 0.000
3.590 3.590 3.590
1.795 1.795 1.795
1.795 1.795 5.386
1.795 5.386 1.795
1.795 5.386 5.386
5.386 1.795 1.795
5.386 1.795 5.386
5.386 5.386 1.795
5.386 5.386 5.386
```

Computed properties:
ΔE_f = 14.29 kcal/mol of atoms


# 3
FeCoSb2: PBEsol geometry, meta-GGA SCAN.

```
FeCoSb2
1.0
6.148 0.000 0.000
0.000 6.148 0.000
0.000 0.000 9.192
Fe Co Sb
4 4 8
Cartesian
0.000 0.000 0.000
0.000 3.074 2.298
3.074 0.000 6.894
3.074 3.074 4.596
0.000 0.000 4.596
0.000 3.074 6.894
3.074 0.000 2.298
3.074 3.074 0.000
1.459 1.537 5.745
1.537 4.533 8.043
1.537 4.689 3.447
1.615 1.537 1.149
4.533 4.611 1.149
4.611 1.459 3.447
4.611 1.615 8.043
4.689 4.611 5.745
```

Computed properties:
Formation energy without anion corrections = 584.2 meV per atom


# 4
Al2TlAg: PBEsol geometry, meta-GGA SCAN.

```
Al2TlAg
1.0
6.818 0.000 0.000
0.000 6.818 0.000
0.000 0.000 6.818
Al Tl Ag
8 4 4
Cartesian
0.000 0.000 0.000
0.000 3.409 3.409
1.705 1.705 1.705
1.705 5.114 5.114
3.409 0.000 3.409
3.409 3.409 0.000
5.114 1.705 5.114
5.114 5.114 1.705
1.705 1.705 5.114
1.705 5.114 1.705
5.114 1.705 1.705
5.114 5.114 5.114
0.000 0.000 3.409
0.000 3.409 0.000
3.409 0.000 0.000
3.409 3.409 3.409
```

Computed properties:
ΔE_f = 6.99 kcal/mol of atoms


# 5
YCo3Si: PBEsol geometry, meta-GGA SCAN.

```
YCo3Si
1.0
4.184 0.000 0.000
0.000 4.184 0.000
0.000 0.000 4.184
Y Co Si
1 3 1
Cartesian
0.000 0.000 0.000
0.000 2.092 2.092
2.092 0.000 2.092
2.092 2.092 0.000
2.092 2.092 2.092
```

Computed properties:
Formation energy without anion corrections = 73.5 meV per atom


# 6
CrB2W: PBEsol geometry, meta-GGA SCAN.

```
CrB2W
1.0
2.990 0.000 0.000
0.000 3.047 0.000
0.000 0.000 8.137
Cr B W
2 4 2
Cartesian
0.000 0.000 0.000
0.000 1.523 4.069
0.000 0.000 2.446
0.000 1.523 6.515
1.495 0.000 3.454
1.495 1.523 7.523
1.495 0.000 5.776
1.495 1.523 1.707
```

Computed properties:
ΔE_f = -9.07 kcal/mol of atoms


# 7
Be2RuPt: PBEsol geometry, meta-GGA SCAN.

```
Be2RuPt
1.0
3.969 0.000 0.000
0.000 3.969 0.000
0.000 0.000 2.733
Be Ru Pt
2 1 1
Cartesian
0.000 1.984 0.000
1.984 0.000 0.000
0.000 0.000 1.367
1.984 1.984 1.367
```

Computed properties:
ΔE_f = -15.30 kcal/mol of atoms
Excess energy over the best structure of this formula in the dataset = 29 meV per atom


# 8
KScSb2: PBEsol geometry, meta-GGA SCAN.

```
KScSb2
1.0
7.500 0.000 0.000
0.000 7.500 0.000
0.000 0.000 7.500
K Sc Sb
4 4 8
Cartesian
0.000 0.000 0.000
0.000 3.750 3.750
3.750 0.000 3.750
3.750 3.750 0.000
0.000 0.000 3.750
0.000 3.750 0.000
3.750 0.000 0.000
3.750 3.750 3.750
1.875 1.875 1.875
1.875 1.875 5.625
1.875 5.625 1.875
1.875 5.625 5.625
5.625 1.875 1.875
5.625 1.875 5.625
5.625 5.625 1.875
5.625 5.625 5.625
```

Computed properties:
Formation energy without anion corrections = -335.9 meV per atom
Excess energy over the best structure of this formula in the dataset = 89 meV per atom


# 9
Cr3MoP: PBEsol geometry, meta-GGA SCAN.

```
Cr3MoP
1.0
4.099 0.000 0.000
0.000 4.099 0.000
0.000 0.000 4.099
Cr Mo P
3 1 1
Cartesian
0.000 0.000 2.049
0.000 2.049 0.000
2.049 0.000 0.000
2.049 2.049 2.049
0.000 0.000 0.000
```

Computed properties:
ΔE_f = 13.20 kcal/mol of atoms


# 10
CaScAg2: PBEsol geometry, meta-GGA SCAN.

```
CaScAg2
1.0
3.347 0.000 0.000
0.000 4.889 0.000
0.000 0.000 10.552
Ca Sc Ag
2 2 4
Cartesian
0.000 0.000 0.000
1.673 2.445 5.276
0.000 2.445 8.356
1.673 0.000 3.081
0.000 0.000 5.570
0.000 2.445 2.552
1.673 0.000 7.827
1.673 2.445 0.295
```

Computed properties:
ΔE_f = -3.68 kcal/mol of atoms


# 11
LiReAs2: PBEsol geometry, meta-GGA SCAN.

```
LiReAs2
1.0
3.245 0.000 0.000
0.000 3.245 0.000
0.000 0.000 5.946
Li Re As
1 1 2
Cartesian
0.000 0.000 0.000
1.623 1.623 1.524
0.000 0.000 2.620
1.623 1.623 5.011
```

Computed properties:
ΔE_f = 2.95 kcal/mol of atoms
Excess energy over the best structure of this formula in the dataset = 353 meV per atom


# 12
Zn2HIF: PBEsol geometry, meta-GGA SCAN.

```
Zn2HIF
1.0
4.301 0.000 0.000
0.000 4.301 0.000
0.000 0.000 4.712
Zn H I F
2 1 1 1
Cartesian
0.000 2.150 0.000
2.150 0.000 0.000
0.000 0.000 2.356
2.150 2.150 2.356
0.000 0.000 0.000
```

Computed properties:
Total DFT energy (no corrections) = -70.41 eV/cell


# 13
KZn2P2HO8: PBEsol geometry, meta-GGA SCAN.

```
KZn2P2HO8
1.0
5.206 0.000 0.000
2.600 8.428 0.000
1.889 1.857 9.077
K Zn P H O
2 4 4 2 16
Cartesian
2.222 2.255 2.907
7.473 8.030 6.170
2.305 2.408 6.911
4.247 4.908 8.090
5.449 5.377 0.986
7.391 7.877 2.165
4.592 8.047 8.594
4.781 7.034 3.618
4.914 3.251 5.459
5.104 2.238 0.483
5.051 5.897 5.536
4.644 4.388 3.540
2.498 3.917 8.153
4.238 9.230 7.689
3.318 7.484 3.694
3.928 6.798 7.977
6.112 7.916 8.762
4.764 4.602 6.211
5.291 6.810 5.096
4.042 2.160 6.084
5.654 8.125 2.993
4.404 3.475 3.981
4.931 5.682 2.865
3.584 2.369 0.315
5.768 3.487 1.099
6.377 2.801 5.382
5.457 1.055 1.388
7.198 6.367 0.923
```

Computed properties:
Total DFT energy (no corrections) = -279.87 eV/cell


# 14
La2SbRhPb: PBEsol geometry, meta-GGA SCAN.

```
La2SbRhPb
1.0
5.867 0.000 0.000
0.000 5.867 0.000
0.000 0.000 5.470
La Sb Rh Pb
2 1 1 1
Cartesian
0.000 2.933 0.000
2.933 0.000 0.000
0.000 0.000 0.000
2.933 2.933 2.735
0.000 0.000 2.735
```

Computed properties:
Formation energy without anion corrections = 499.5 meV per atom


# 15
MgAl2Cd: PBEsol geometry, meta-GGA SCAN.

```
MgAl2Cd
1.0
2.977 0.000 0.000
-1.488 2.578 0.000
0.000 0.000 29.783
Mg Al Cd
3 6 3
Cartesian
0.000 0.000 0.000
0.000 1.719 19.855
1.488 0.859 9.928
0.000 0.000 7.460
0.000 0.000 22.323
0.000 1.719 12.396
0.000 1.719 27.315
1.488 0.859 2.468
1.488 0.859 17.388
0.000 0.000 14.892
0.000 1.719 4.964
1.488 0.859 24.819
```

Computed properties:
ΔE_f = 1.84 kcal/mol of atoms


# 16
CaCuOF2: PBEsol geometry, meta-GGA SCAN.

```
CaCuOF2
1.0
4.200 0.000 0.000
0.000 4.200 0.000
0.000 0.000 4.443
Ca Cu O F
1 1 1 2
Cartesian
0.000 0.000 0.000
2.100 2.100 2.222
0.000 0.000 2.222
0.000 2.100 0.000
2.100 0.000 0.000
```

Computed properties:
Formation energy without anion corrections = -1615.5 meV per atom


# 17
BeZn3Cl: PBEsol geometry, meta-GGA SCAN.

```
BeZn3Cl
1.0
4.438 0.000 0.000
0.000 4.438 0.000
0.000 0.000 4.438
Be Zn Cl
1 3 1
Cartesian
0.000 0.000 0.000
0.000 0.000 2.219
0.000 2.219 0.000
2.219 0.000 0.000
2.219 2.219 2.219
```

Computed properties:
Formation energy without anion corrections = 130.8 meV per atom


# 18
Mg2AlCuAg: PBEsol geometry, meta-GGA SCAN.

```
Mg2AlCuAg
1.0
5.049 0.000 0.000
0.000 5.049 0.000
0.000 0.000 4.735
Mg Al Cu Ag
2 1 1 1
Cartesian
0.000 2.524 0.000
2.524 0.000 0.000
0.000 0.000 0.000
2.524 2.524 2.368
0.000 0.000 2.368
```

Computed properties:
ΔE_f = 17.44 kcal/mol of atoms


# 19
MgFe4Mo: PBEsol geometry, meta-GGA SCAN.

```
MgFe4Mo
1.0
0.000 3.322 3.322
3.322 0.000 3.322
3.322 3.322 0.000
Mg Fe Mo
1 4 1
Cartesian
0.000 0.000 0.000
4.151 2.493 2.493
2.493 4.151 2.493
2.493 2.493 4.151
4.151 4.151 4.151
1.661 1.661 1.661
```

Computed properties:
ΔE_f = 2.21 kcal/mol of atoms


# 20
TcAuI2N: PBEsol geometry, meta-GGA SCAN.

```
TcAuI2N
1.0
5.872 0.000 0.000
0.000 5.872 0.000
0.000 0.000 3.699
Tc Au I N
1 1 2 1
Cartesian
0.000 0.000 0.000
2.936 2.936 1.850
0.000 2.936 1.850
2.936 0.000 1.850
2.936 2.936 0.000
```

Computed properties:
Formation energy without anion corrections = 1375.4 meV per atom